Below is a geometry-optimized SiTcAu structure, with properties calculated at the PBE level.

Calculated values
As for the total magnetization: 0.0 μB/cell. As for the symmetry: Amm2 (38). The density of states at the Fermi level comes out at 1.3 states/eV/f.u. Its uncorrected formation energy is -0.04 eV/atom. For the energy above the most stable polymorph in this dataset, the calculation gives 0 meV/atom.

a b c (Å): 5.773 4.927 4.927
angles (deg): 139.61 148.52 49.50
Element x y z (fractional)
Au 0.166 0.995 0.171
Tc 0.667 0.706 0.960
Si 0.167 0.299 0.869

***

Below is a geometry-optimized Cd2CuOs structure, with properties calculated at the PBE level.

Calculated values
As for the total magnetization: 0.3 μB/cell. As for the symmetry: I-42d (122). The density of states at the Fermi level comes out at 2.6 states/eV/f.u. Its energy of formation from the pure elements is 0.851 eV per atom. For the energy above the most stable polymorph in this dataset, the calculation gives 456 meV/atom.

a b c (Å): 3.891 3.891 9.985
angles (deg): 78.76 78.76 90.00
Each line ends with the local moment (μB).
Element x y z (fractional)
Os 0.750 0.250 0.500  0.18
Os 0.000 0.000 0.000  0.18
Cd 0.625 0.125 0.250  0.00
Cd 0.125 0.625 0.250  0.00
Cd 0.875 0.875 0.750  0.00
Cd 0.375 0.375 0.750  0.00
Cu 0.500 0.500 0.000  0.00
Cu 0.250 0.750 0.500  0.00

***

Below is a geometry-optimized BaLiOs2 structure, with properties calculated at the PBE level.

Calculated values
As for the total magnetization: 0.0 μB/cell. As for the symmetry: Pmmm (47). The density of states at the Fermi level comes out at 3.5 states/eV/f.u. Its energy of formation from the pure elements is 0.969 eV per atom. For the energy above the most stable polymorph in this dataset, the calculation gives 733 meV/atom.

a b c (Å): 3.016 4.581 5.399
angles (deg): 90.00 90.00 90.00
Element x y z (fractional)
Os 0.000 0.000 0.000
Os 0.500 0.500 0.000
Li 0.000 0.500 0.500
Ba 0.500 0.000 0.500

***

Below is a geometry-optimized ReBPt2Cl structure, with properties calculated at the PBE level.

Calculated values
As for the total magnetization: 4.5 μB/cell. As for the symmetry: P4/mmm (123). The density of states at the Fermi level comes out at 2.3 states/eV/f.u. Its uncorrected formation energy is 0.98 eV/atom.

a b c (Å): 4.062 5.111 4.062
angles (deg): 90.00 90.00 90.00
Each line ends with the local moment (μB).
Element x y z (fractional)
Re 0.500 0.500 0.500  3.41
Cl 0.000 0.500 0.000  0.06
B 0.000 0.000 0.000  0.01
Pt 0.500 0.000 0.000  0.20
Pt 0.000 0.000 0.500  0.20

***

Below is a geometry-optimized CsCdBi structure, with properties calculated at the PBE level.

Calculated values
As for the total magnetization: 0.0 μB/cell. As for the symmetry: P1 (1). The density of states at the Fermi level comes out at 0.0 states/eV/f.u. Its energy of formation from the pure elements is -0.241 eV per atom.

a b c (Å): 5.317 7.838 7.144
angles (deg): 73.89 111.83 109.88
Element x y z (fractional)
Bi 0.312 0.974 0.586
Bi 0.248 0.248 0.180
Cs 0.017 0.383 0.586
Cs 0.895 0.716 0.008
Cd 0.655 0.849 0.396
Cd 0.593 0.103 0.013

***

Below is a geometry-optimized ErBe3Co3 structure, with properties calculated at the PBE level.

Calculated values
As for the total magnetization: 0.0 μB/cell. As for the symmetry: Pm-3n (223). The density of states at the Fermi level comes out at 4.4 states/eV/f.u. Its energy of formation from the pure elements is 0.255 eV per atom.

a b c (Å): 5.686 5.686 5.686
angles (deg): 90.00 90.00 90.00
Element x y z (fractional)
Be 0.000 0.250 0.500
Be 0.750 0.500 0.000
Be 0.500 0.000 0.250
Be 0.000 0.750 0.500
Be 0.500 0.000 0.750
Be 0.250 0.500 0.000
Co 0.000 0.500 0.750
Co 0.250 0.000 0.500
Co 0.000 0.500 0.250
Co 0.500 0.250 0.000
Co 0.500 0.750 0.000
Co 0.750 0.000 0.500
Er 0.500 0.500 0.500
Er 0.000 0.000 0.000

***

Below is a geometry-optimized Pr7HoTl4 structure, with properties calculated at the PBE level.

Calculated values
As for the total magnetization: 0.0 μB/cell. As for the symmetry: C2/m (12). The density of states at the Fermi level comes out at 12.9 states/eV/f.u. Its energy of formation from the pure elements is -0.077 eV per atom.

a b c (Å): 5.961 9.547 8.088
angles (deg): 73.35 68.38 71.81
Element x y z (fractional)
Tl 0.686 0.665 0.962
Tl 0.555 0.259 0.631
Tl 0.314 0.335 0.038
Tl 0.445 0.741 0.369
Pr 0.797 0.884 0.522
Pr 0.271 0.669 0.789
Pr 0.203 0.116 0.478
Pr 0.500 0.000 0.000
Pr 0.062 0.607 0.269
Pr 0.938 0.393 0.731
Pr 0.729 0.331 0.211
Ho 0.000 0.000 0.000

***

Below is a geometry-optimized TcGePO2 structure, with properties calculated at the PBE level.

Calculated values
As for the total magnetization: 0.0 μB/cell. As for the symmetry: P4/mmm (123). The density of states at the Fermi level comes out at 2.4 states/eV/f.u. Its uncorrected formation energy is -0.55 eV/atom. For the energy above the most stable polymorph in this dataset, the calculation gives 0 meV/atom.

a b c (Å): 3.791 3.791 5.156
angles (deg): 90.00 90.00 90.00
Element x y z (fractional)
O 0.500 0.000 0.000
O 0.000 0.500 0.000
P 0.000 0.000 0.500
Ge 0.500 0.500 0.500
Tc 0.000 0.000 0.000

***

Below is a geometry-optimized LiIn15Pb4 structure, with properties calculated at the PBE level.

Calculated values
As for the total magnetization: 0.0 μB/cell. As for the symmetry: P4/mmm (123). The density of states at the Fermi level comes out at 10.0 states/eV/f.u. Its energy of formation from the pure elements is -0.006 eV per atom.

a b c (Å): 4.958 4.958 22.392
angles (deg): 90.00 90.00 90.00
Element x y z (fractional)
Pb 0.000 0.000 0.398
Pb 0.000 0.000 0.810
Pb 0.000 0.000 0.190
Pb 0.000 0.000 0.602
In 0.000 0.500 0.500
In 0.500 0.500 0.000
In 0.500 0.000 0.090
In 0.000 0.500 0.704
In 0.500 0.000 0.704
In 0.000 0.500 0.296
In 0.500 0.000 0.296
In 0.500 0.000 0.500
In 0.500 0.500 0.194
In 0.000 0.500 0.910
In 0.000 0.500 0.090
In 0.500 0.000 0.910
In 0.500 0.500 0.806
In 0.500 0.500 0.399
In 0.500 0.500 0.601
Li 0.000 0.000 0.000

***

Below is a geometry-optimized TbMg9Sc2 structure, with properties calculated at the PBE level.

Calculated values
As for the total magnetization: 0.0 μB/cell. As for the symmetry: P4/mmm (123). The density of states at the Fermi level comes out at 9.9 states/eV/f.u. Its energy of formation from the pure elements is -0.048 eV per atom.

a b c (Å): 4.587 4.587 13.591
angles (deg): 90.00 90.00 90.00
Element x y z (fractional)
Mg 0.000 0.500 0.500
Mg 0.500 0.500 0.662
Mg 0.000 0.500 0.174
Mg 0.500 0.500 0.338
Mg 0.500 0.500 0.000
Mg 0.500 0.000 0.826
Mg 0.000 0.500 0.826
Mg 0.500 0.000 0.500
Mg 0.500 0.000 0.174
Tb 0.000 0.000 0.000
Sc 0.000 0.000 0.662
Sc 0.000 0.000 0.338

***

Below is a geometry-optimized Ca5Ga4Cu structure, with properties calculated at the PBE level.

Calculated values
As for the total magnetization: 0.0 μB/cell. As for the symmetry: P4/mmm (123). The density of states at the Fermi level comes out at 7.8 states/eV/f.u. Its energy of formation from the pure elements is -0.354 eV per atom.

a b c (Å): 3.678 3.678 18.063
angles (deg): 90.00 90.00 90.00
Element x y z (fractional)
Ca 0.500 0.500 0.097
Ca 0.500 0.500 0.903
Ca 0.500 0.500 0.500
Ca 0.500 0.500 0.299
Ca 0.500 0.500 0.701
Ga 0.000 0.000 0.397
Ga 0.000 0.000 0.199
Ga 0.000 0.000 0.603
Ga 0.000 0.000 0.801
Cu 0.000 0.000 0.000

***

Below is a geometry-optimized MoIrSe2N structure, with properties calculated at the PBE level.

Calculated values
As for the total magnetization: 3.4 μB/cell. As for the symmetry: P4/mmm (123). The density of states at the Fermi level comes out at 2.8 states/eV/f.u. Its uncorrected formation energy is 0.74 eV/atom. For the energy above the most stable polymorph in this dataset, the calculation gives 0 meV/atom.

a b c (Å): 5.114 5.114 3.646
angles (deg): 90.00 90.00 90.00
Each line ends with the local moment (μB).
Element x y z (fractional)
Se 0.500 0.000 0.000  -0.14
Se 0.000 0.500 0.000  -0.14
Mo 0.500 0.500 0.500  3.16
Ir 0.000 0.000 0.000  0.00
N 0.000 0.000 0.500  0.03

***

Below is a geometry-optimized PrAsSe3 structure, with properties calculated at the PBE level.

Calculated values
As for the total magnetization: 0.0 μB/cell. As for the symmetry: C2/m (12). The density of states at the Fermi level comes out at 0.0 states/eV/f.u. Its uncorrected formation energy is -0.87 eV/atom. For the energy above the most stable polymorph in this dataset, the calculation gives 98 meV/atom.

a b c (Å): 4.124 8.099 8.729
angles (deg): 98.39 103.66 90.00
Element x y z (fractional)
Se 0.179 0.610 0.358
Se 0.821 0.390 0.642
Se 0.978 0.781 0.957
Se 0.660 0.981 0.320
Se 0.340 0.019 0.680
Se 0.022 0.219 0.043
Pr 0.795 0.750 0.590
Pr 0.205 0.250 0.410
As 0.438 0.275 0.876
As 0.562 0.725 0.124

***

Below is a geometry-optimized ReAgIr2 structure, with properties calculated at the PBE level.

Calculated values
As for the total magnetization: 0.0 μB/cell. As for the symmetry: I-42d (122). The density of states at the Fermi level comes out at 3.6 states/eV/f.u. Its energy of formation from the pure elements is 0.738 eV per atom. For the energy above the most stable polymorph in this dataset, the calculation gives 705 meV/atom.

a b c (Å): 7.228 7.228 5.781
angles (deg): 51.31 51.31 90.00
Element x y z (fractional)
Ag 0.500 0.500 0.000
Ag 0.250 0.750 0.500
Ir 0.375 0.330 0.750
Ir 0.875 0.920 0.750
Ir 0.670 0.125 0.250
Ir 0.080 0.625 0.250
Re 0.000 0.000 0.000
Re 0.750 0.250 0.500

***

Below is a geometry-optimized TeRh3 structure, with properties calculated at the PBE level.

Calculated values
As for the total magnetization: 0.0 μB/cell. As for the symmetry: R-3m (166). The density of states at the Fermi level comes out at 7.4 states/eV/f.u. Its uncorrected formation energy is 0.26 eV/atom.

a b c (Å): 5.128 5.128 5.128
angles (deg): 116.30 116.30 116.30
Element x y z (fractional)
Te 0.500 0.500 0.500
Rh 0.000 0.500 0.000
Rh 0.500 0.000 0.000
Rh 0.000 0.000 0.500

***

Below is a geometry-optimized Sm8TlOs2 structure, with properties calculated at the PBE level.

Calculated values
As for the total magnetization: 0.0 μB/cell. As for the symmetry: Cm (8). The density of states at the Fermi level comes out at 10.7 states/eV/f.u. Its energy of formation from the pure elements is -0.118 eV per atom.

a b c (Å): 5.579 8.051 8.051
angles (deg): 112.34 97.07 97.07
Element x y z (fractional)
Sm 0.424 0.675 0.940
Sm 0.575 0.331 0.066
Sm 0.575 0.066 0.331
Sm 0.000 0.752 0.253
Sm 0.424 0.940 0.675
Sm 0.204 0.388 0.388
Sm 0.000 0.253 0.752
Sm 0.796 0.619 0.619
Os 0.500 0.689 0.317
Os 0.500 0.317 0.689
Tl 0.000 0.004 0.004

***

Below is a geometry-optimized ReAgGe2Pb structure, with properties calculated at the PBE level.

Calculated values
As for the total magnetization: 3.9 μB/cell. As for the symmetry: P4/mmm (123). The density of states at the Fermi level comes out at 3.4 states/eV/f.u. Its energy of formation from the pure elements is 1.969 eV per atom.

a b c (Å): 5.378 5.160 5.378
angles (deg): 90.00 90.00 90.00
Each line ends with the local moment (μB).
Element x y z (fractional)
Re 0.500 0.500 0.500  3.59
Ge 0.500 0.000 0.000  -0.13
Ge 0.000 0.000 0.500  -0.09
Ag 0.000 0.500 0.000  0.01
Pb 0.000 0.000 0.000  0.03

***

Below is a geometry-optimized Rb2TbI4 structure, with properties calculated at the PBE level.

Calculated values
As for the total magnetization: 0.5 μB/cell. As for the symmetry: I4/mmm (139). The density of states at the Fermi level comes out at 3.1 states/eV/f.u. Its uncorrected formation energy is -1.28 eV/atom.

a b c (Å): 6.051 6.051 10.253
angles (deg): 107.16 107.16 90.00
Each line ends with the local moment (μB).
Element x y z (fractional)
I 0.833 0.833 0.666  0.01
I 0.500 0.000 0.000  0.00
I 0.000 0.500 0.000  0.00
I 0.167 0.167 0.334  0.01
Rb 0.637 0.637 0.274  0.00
Rb 0.363 0.363 0.726  0.00
Tb 0.000 0.000 0.000  0.31

***

Below is a geometry-optimized KAlHg2 structure, with properties calculated at the PBE level.

Calculated values
As for the total magnetization: 0.0 μB/cell. As for the symmetry: Imm2 (44). The density of states at the Fermi level comes out at 2.0 states/eV/f.u. Its energy of formation from the pure elements is 0.081 eV per atom. For the energy above the most stable polymorph in this dataset, the calculation gives 139 meV/atom.

a b c (Å): 6.240 6.240 6.240
angles (deg): 143.62 127.54 65.51
Element x y z (fractional)
Hg 0.022 0.022 0.000
Hg 0.775 0.275 0.500
K 0.491 0.491 0.000
Al 0.213 0.713 0.500

***

Below is a geometry-optimized PmThAgIr structure, with properties calculated at the PBE level.

Calculated values
As for the total magnetization: 0.0 μB/cell. As for the symmetry: F-43m (216). The density of states at the Fermi level comes out at 3.6 states/eV/f.u. Its energy of formation from the pure elements is -0.429 eV per atom.

a b c (Å): 5.137 5.137 5.137
angles (deg): 60.00 60.00 60.00
Element x y z (fractional)
Ag 0.750 0.750 0.750
Th 0.500 0.500 0.500
Pm 0.000 0.000 0.000
Ir 0.250 0.250 0.250